## Ca3CePm2Te6 (PBE)

Data for a geometry-optimized Ca3CePm2Te6 structure.

Output
ΔE_f (raw) in eV per atom: -1.49
Density of states at the Fermi level in states/eV per cell: 11.6
Raw total energy in eV per atom: -4.849

a = 4.4536 Å, b = 9.0624 Å, c = 10.1058 Å
α = 104.38°, β = 102.73°, γ = 90.00°
Element x y z (fractional)
Ca  0.5000  0.5000  0.0000
Ca  0.8332  0.1669  0.6663
Ca  0.1668  0.8331  0.3337
Ce  0.5000  0.0000  0.0000
Pm  0.8320  0.6637  0.6639
Pm  0.1680  0.3363  0.3361
Te  0.3319  0.9168  0.6637
Te  0.6657  0.5859  0.3314
Te  0.6681  0.0832  0.3363
Te  0.9999  0.2542  0.9998
Te  0.0001  0.7458  0.0002
Te  0.3343  0.4141  0.6686